(1)
Density functional theory data (GGA-PBE) for a relaxed structure of Ga2Ag7Sn.

Cell lengths 7.5586, 7.5586, 4.5846 Å; angles 90.00, 90.00, 119.66 degrees
Fractional coordinates of all 10 atoms:
Ga 0.1970 0.8030 0.0000
Ga 0.8030 0.1970 0.0000
Ag 0.0000 0.0000 0.0000
Ag 0.1990 0.4294 0.0000
Ag 0.2853 0.7147 0.5000
Ag 0.4294 0.1990 0.0000
Ag 0.5706 0.8010 0.0000
Ag 0.7147 0.2853 0.5000
Ag 0.8010 0.5706 0.0000
Sn 0.5000 0.5000 0.5000

(2)
Density functional theory data (GGA-PBE) for a relaxed structure of Ga2AgSn.

Cell lengths 4.4830, 4.4830, 4.1224 Å; angles 90.00, 90.00, 90.00 degrees
Fractional coordinates of all 4 atoms:
Ga 0.0000 0.5000 0.0000
Ga 0.5000 0.0000 0.0000
Ag 0.0000 0.0000 0.5000
Sn 0.5000 0.5000 0.5000

no.,Fermi-level density of states (states/eV/cell),formation energy (eV per atom)
1,4.8,0.217
2,1.2,0.076